Record 1
Entry from Alexandria: crystalline Tb4YTm7 at its relaxed geometry (PBE-GGA).

Cell lengths 6.7523, 8.6026, 8.9106 Å; angles 84.31, 95.20, 48.05 degrees
Last column: nearest neighbours and their distance in Å.
Fractional positions:
Tm  0.7335  0.5154  0.9507  5 Tm 3.32-3.52, 4 Tb 3.34-3.66, 1 Y 3.45
Tb  0.7796  0.8367  0.6894  7 Tm 3.37-3.63, 2 Tb 3.46-3.49
Tm  0.0231  0.6823  0.3559  5 Tm 3.33-3.65, 4 Tb 3.42-3.49
Tm  0.5000  0.0000  0.0000  4 Tb 3.37-3.62, 2 Y 3.38, 4 Tm 3.43-3.65
Tb  0.2204  0.1633  0.3106  7 Tm 3.37-3.63, 2 Tb 3.46-3.49
Tm  0.9769  0.3177  0.6441  5 Tm 3.33-3.65, 4 Tb 3.42-3.49
Tb  0.5585  0.6370  0.2881  8 Tm 3.27-3.66, 1 Y 3.39, 2 Tb 3.46-3.49
Tm  0.2947  0.8120  0.6149  5 Tm 3.24-3.57, 5 Tb 3.27-3.58
Tb  0.4415  0.3630  0.7119  8 Tm 3.27-3.66, 1 Y 3.39, 2 Tb 3.46-3.49
Tm  0.2665  0.4846  0.0493  5 Tm 3.32-3.52, 4 Tb 3.34-3.66, 1 Y 3.45
Y  0.0000  0.0000  0.0000  4 Tm 3.38-3.45, 2 Tb 3.39
Tm  0.7053  0.1880  0.3851  5 Tm 3.24-3.57, 5 Tb 3.27-3.58

The value obtained for the energy above the most stable polymorph in this dataset is 0 meV per atom. The calculated formation energy comes out at 1.1 eV per formula unit. The value obtained for the total magnetization is 0.000 μB per atom. Its space-group type is P-1 (2).

Record 2
Entry from Alexandria: crystalline BaGe3PdPt at its relaxed geometry (PBE-GGA).

Cell lengths 6.4673, 6.7375, 7.4975 Å; angles 116.70, 90.00, 90.00 degrees
Last column: nearest neighbours and their distance in Å.
Fractional positions:
Ge  0.7500  0.7353  0.4706  1 Pt 2.34, 1 Pd 2.36
Pd  0.2500  0.4405  0.8810  5 Ge 2.36-2.57
Pt  0.2500  0.0899  0.1798  5 Ge 2.34-2.54
Ge  0.0000  0.7710  0.0000  2 Pt 2.54, 2 Pd 2.57
Ge  0.5000  0.7710  0.0000  2 Pt 2.54, 2 Pd 2.57
Pt  0.7500  0.9101  0.8202  5 Ge 2.34-2.54
Ba  0.7500  0.2587  0.5174  4 Ge 3.23-3.38
Ge  0.0000  0.2290  0.0000  2 Pt 2.54, 2 Pd 2.57
Pd  0.7500  0.5595  0.1190  5 Ge 2.36-2.57
Ba  0.2500  0.7413  0.4826  4 Ge 3.23-3.38
Ge  0.5000  0.2290  0.0000  2 Pt 2.54, 2 Pd 2.57
Ge  0.2500  0.2647  0.5294  1 Pt 2.34, 1 Pd 2.36

The calculated formation energy comes out at -2.7 eV per formula unit. The value obtained for the total magnetization is 0.000 μB per atom. Its space-group type is Cmcm (63).

Record 3
Entry from Alexandria: crystalline Li4Sc3USe8 at its relaxed geometry (PBE-GGA).

Cell lengths 7.8342, 7.8867, 7.8335 Å; angles 119.78, 120.00, 90.00 degrees
Last column: nearest neighbours and their distance in Å.
Fractional positions:
Se  0.2550  0.7491  0.5101  3 Li 2.72-2.81, 2 Sc 2.75, 1 U 2.83
Sc  0.5000  0.5000  0.0000  6 Se 2.74-2.75
Li  0.0000  0.0000  0.5000  6 Se 2.81
Se  0.7449  0.2509  0.0060  3 Li 2.72-2.81, 2 Sc 2.75, 1 U 2.84
Se  0.2551  0.7491  0.9940  3 Li 2.72-2.81, 2 Sc 2.75, 1 U 2.84
Sc  0.5000  0.5000  0.5000  6 Se 2.75
Se  0.2610  0.2509  0.0060  3 Li 2.72-2.81, 2 Sc 2.75, 1 U 2.84
Li  0.5000  0.0000  0.0000  6 Se 2.72
U  0.0000  0.5000  0.0000  6 Se 2.83-2.84
Se  0.7450  0.2509  0.4899  3 Li 2.72-2.81, 2 Sc 2.75, 1 U 2.83
Se  0.2530  0.2590  0.5060  3 Sc 2.74-2.75, 3 Li 2.81
Sc  0.0000  0.5000  0.5000  6 Se 2.75
Li  0.5000  0.0000  0.5000  6 Se 2.81
Li  0.0000  0.0000  0.0000  6 Se 2.81
Se  0.7390  0.7491  0.9940  3 Li 2.72-2.81, 2 Sc 2.75, 1 U 2.84
Se  0.7470  0.7410  0.4940  3 Sc 2.74-2.75, 3 Li 2.81

The value obtained for the total magnetization is 0.186 μB per atom. Its space-group type is R-3m (166). For the uncorrected formation energy, the calculation gives -1.48 eV per atom.